[1]
A plane-wave DFT calculation with PBE-GGA was carried out for a geometry-optimized Dy2ThRh4 structure.

Cell lengths 8.3009, 8.3009, 8.3009 Å; angles 33.23, 33.23, 33.23 degrees
Fractional positions:
Dy1 0.2341 0.2341 0.2341
Dy2 0.7659 0.7659 0.7659
Th1 0.0000 0.0000 0.0000
Rh1 0.1159 0.1159 0.1159
Rh2 0.3743 0.3743 0.3743
Rh3 0.6257 0.6257 0.6257
Rh4 0.8841 0.8841 0.8841

For the energy, the calculation gives -7.1751 eV per atom. The value obtained for the formation energy is -0.5994 eV/atom. Its crystal system is trigonal.

[2]
A plane-wave DFT calculation with PBE-GGA was carried out for a geometry-optimized Pr3DyPu2Se6 structure.

Cell lengths 7.2329, 7.2329, 7.3136 Å; angles 99.48, 99.48, 120.02 degrees
Fractional positions:
Pr1 0.0000 0.0000 0.0000
Pr2 0.3320 0.6680 0.0000
Pr3 0.6680 0.3320 0.0000
Dy1 0.5000 0.5000 0.5000
Pu1 0.1663 0.8337 0.5000
Pu2 0.8337 0.1663 0.5000
Se1 0.0903 0.4212 0.2632
Se2 0.2491 0.2491 0.7393
Se3 0.4212 0.0903 0.2632
Se4 0.5788 0.9097 0.7368
Se5 0.7509 0.7509 0.2607
Se6 0.9097 0.5788 0.7368

For the energy, the calculation gives -7.4503 eV per atom. The value obtained for the formation energy from raw total energies is -1.7410 eV/atom. Its crystal system is monoclinic.

[3]
A plane-wave DFT calculation with PBE-GGA was carried out for a geometry-optimized InSiSe2 structure.

Cell lengths 3.4725, 3.4725, 7.0891 Å; angles 90.00, 90.00, 90.00 degrees
Fractional positions:
In1 0.0000 0.0000 0.0000
Si1 0.0000 0.0000 0.5000
Se1 0.5000 0.5000 0.2756
Se2 0.5000 0.5000 0.7244

For the energy, the calculation gives -3.6200 eV per atom. The value obtained for the formation energy from raw total energies is 0.1626 eV/atom. Its crystal system is tetragonal.

[4]
A plane-wave DFT calculation with PBE-GGA was carried out for a geometry-optimized TaP7 structure.

Cell lengths 5.4925, 5.4925, 5.4925 Å; angles 60.00, 60.00, 60.00 degrees
Fractional positions:
Ta1 0.0000 0.0000 0.0000
P1 0.0000 0.0000 0.5000
P2 0.0000 0.5000 0.0000
P3 0.0000 0.5000 0.5000
P4 0.5000 0.0000 0.0000
P5 0.5000 0.0000 0.5000
P6 0.5000 0.5000 0.0000
P7 0.5000 0.5000 0.5000

For the energy, the calculation gives -5.6003 eV per atom. The value obtained for the formation energy is 0.6150 eV/atom. Its crystal system is cubic.

[5]
A plane-wave DFT calculation with PBE-GGA was carried out for a geometry-optimized MnFe2MoC structure.

Cell lengths 3.7517, 3.7517, 3.8093 Å; angles 90.00, 90.00, 90.00 degrees
Fractional positions:
Mn1 0.0000 0.0000 0.0000
Fe1 0.0000 0.5000 0.5000
Fe2 0.5000 0.0000 0.5000
Mo1 0.5000 0.5000 0.0000
C1 0.0000 0.0000 0.5000

For the energy, the calculation gives -9.1269 eV per atom. The value obtained for the formation energy is 0.1031 eV/atom. Its crystal system is tetragonal.

[6]
A plane-wave DFT calculation with PBE-GGA was carried out for a geometry-optimized CaHoMg2Cd4 structure.

Cell lengths 8.9039, 8.9039, 8.9039 Å; angles 33.29, 33.29, 33.29 degrees
Fractional positions:
Ca1 0.0000 0.0000 0.0000
Ho1 0.5000 0.5000 0.5000
Mg1 0.2492 0.2492 0.2492
Mg2 0.7508 0.7508 0.7508
Cd1 0.1254 0.1254 0.1254
Cd2 0.3763 0.3763 0.3763
Cd3 0.6237 0.6237 0.6237
Cd4 0.8746 0.8746 0.8746

For the energy, the calculation gives -1.9633 eV per atom. The value obtained for the formation energy is -0.2847 eV/atom. Its crystal system is trigonal.

[7]
A plane-wave DFT calculation with PBE-GGA was carried out for a geometry-optimized TbPmP2Pd2 structure.

Cell lengths 4.2057, 4.2057, 7.6562 Å; angles 90.00, 90.00, 120.00 degrees
Fractional positions:
Tb1 0.0000 0.0000 0.0000
Pm1 0.0000 0.0000 0.5000
P1 0.3333 0.6667 0.7540
P2 0.6667 0.3333 0.2460
Pd1 0.3333 0.6667 0.2424
Pd2 0.6667 0.3333 0.7576

For the energy, the calculation gives -6.3455 eV per atom. The value obtained for the formation energy is -1.2478 eV/atom. Its crystal system is trigonal.

[8]
A plane-wave DFT calculation with PBE-GGA was carried out for a geometry-optimized YErTcNi structure.

Cell lengths 6.7828, 6.7828, 6.7828 Å; angles 90.00, 90.00, 90.00 degrees
Fractional positions:
Y1 0.0000 0.0000 0.0000
Y2 0.0000 0.5000 0.5000
Y3 0.5000 0.0000 0.5000
Y4 0.5000 0.5000 0.0000
Er1 0.0000 0.0000 0.5000
Er2 0.0000 0.5000 0.0000
Er3 0.5000 0.0000 0.0000
Er4 0.5000 0.5000 0.5000
Tc1 0.2500 0.2500 0.2500
Tc2 0.2500 0.7500 0.7500
Tc3 0.7500 0.2500 0.7500
Tc4 0.7500 0.7500 0.2500
Ni1 0.2500 0.2500 0.7500
Ni2 0.2500 0.7500 0.2500
Ni3 0.7500 0.2500 0.2500
Ni4 0.7500 0.7500 0.7500

For the energy, the calculation gives -6.9144 eV per atom. The value obtained for the formation energy is -0.1208 eV/atom. Its crystal system is cubic.

[9]
A plane-wave DFT calculation with PBE-GGA was carried out for a geometry-optimized Pa3Co2Si2 structure.

Cell lengths 5.4178, 7.6220, 12.2303 Å; angles 90.00, 90.00, 90.00 degrees
Fractional positions:
Pa1 0.1388 0.2487 0.2500
Pa2 0.1388 0.2513 0.7500
Pa3 0.3379 0.6028 0.6018
Pa4 0.3379 0.6028 0.8982
Pa5 0.3379 0.8972 0.1018
Pa6 0.3379 0.8972 0.3982
Pa7 0.6621 0.1028 0.6018
Pa8 0.6621 0.1028 0.8982
Pa9 0.6621 0.3972 0.1018
Pa10 0.6621 0.3972 0.3982
Pa11 0.8612 0.7487 0.2500
Pa12 0.8612 0.7513 0.7500
Co1 0.1240 0.5362 0.0891
Co2 0.1240 0.5362 0.4109
Co3 0.1240 0.9638 0.5891
Co4 0.1240 0.9638 0.9109
Co5 0.8760 0.0362 0.0891
Co6 0.8760 0.0362 0.4109
Co7 0.8760 0.4638 0.5891
Co8 0.8760 0.4638 0.9109
Si1 0.1618 0.2500 0.0000
Si2 0.1618 0.2500 0.5000
Si3 0.3572 0.6006 0.2500
Si4 0.3572 0.8994 0.7500
Si5 0.6428 0.1006 0.2500
Si6 0.6428 0.3994 0.7500
Si7 0.8382 0.7500 0.0000
Si8 0.8382 0.7500 0.5000

For the energy, the calculation gives -8.2422 eV per atom. The value obtained for the formation energy from raw total energies is -0.5929 eV/atom. Its crystal system is orthorhombic.

[10]
A plane-wave DFT calculation with PBE-GGA was carried out for a geometry-optimized Tb5Pr4Nd structure.

Cell lengths 14.4850, 14.4850, 6.8952 Å; angles 97.08, 97.08, 13.84 degrees
Fractional positions:
Tb1 0.0000 0.0000 0.0000
Tb2 0.2928 0.2928 0.3983
Tb3 0.2955 0.2955 0.8970
Tb4 0.7045 0.7045 0.1030
Tb5 0.7072 0.7072 0.6017
Pr1 0.1089 0.1089 0.3030
Pr2 0.4042 0.4042 0.1981
Pr3 0.5958 0.5958 0.8019
Pr4 0.8911 0.8911 0.6970
Nd1 0.0000 0.0000 0.5000

For the energy, the calculation gives -4.5683 eV per atom. The value obtained for the formation energy is 0.1354 eV/atom. Its crystal system is monoclinic.

[11]
A plane-wave DFT calculation with PBE-GGA was carried out for a geometry-optimized SrCBr2 structure.

Cell lengths 7.4776, 7.4776, 7.4776 Å; angles 90.00, 90.00, 90.00 degrees
Fractional positions:
Sr1 0.0000 0.0000 0.0000
Sr2 0.0000 0.5000 0.5000
Sr3 0.5000 0.0000 0.5000
Sr4 0.5000 0.5000 0.0000
C1 0.0000 0.0000 0.5000
C2 0.0000 0.5000 0.0000
C3 0.5000 0.0000 0.0000
C4 0.5000 0.5000 0.5000
Br1 0.2500 0.2500 0.2500
Br2 0.2500 0.2500 0.7500
Br3 0.2500 0.7500 0.2500
Br4 0.2500 0.7500 0.7500
Br5 0.7500 0.2500 0.2500
Br6 0.7500 0.2500 0.7500
Br7 0.7500 0.7500 0.2500
Br8 0.7500 0.7500 0.7500

For the energy, the calculation gives -3.2644 eV per atom. The value obtained for the formation energy from raw total energies is 0.2984 eV/atom. Its crystal system is cubic.

[12]
A plane-wave DFT calculation with PBE-GGA was carried out for a geometry-optimized TaTi4Zn structure.

Cell lengths 2.8668, 4.6539, 7.6504 Å; angles 90.00, 94.99, 90.00 degrees
Fractional positions:
Ta1 0.0000 0.0000 0.0000
Ti1 0.2731 0.0000 0.6647
Ti2 0.4497 0.5000 0.1285
Ti3 0.6889 0.0000 0.3426
Ti4 0.7552 0.5000 0.7835
Zn1 0.1522 0.5000 0.4635

For the energy, the calculation gives -7.4345 eV per atom. The value obtained for the formation energy is 0.0165 eV/atom. Its crystal system is monoclinic.